No. 1
The following is a PBE calculation of Sm2Er7 after structural relaxation, from Alexandria via LeMat-Bulk.

Values from the calculation:
**E above lowest polymorph**: 0 meV per atom
**Formation energy from the elements**: 23 meV per atom
**E_tot**: -4.574 eV per atom
**D(E_F)**: 13.0 states/eV/f.u.
**SG**: P-31m (162)

Cell: 6.117 6.117 8.646 Å, 90.00 90.00 120.00°
Fractional coordinates of all 9 atoms:
Sm 0.333 0.667 0.000
Sm 0.667 0.333 0.000
Er 0.000 0.000 0.000
Er 0.667 0.000 0.336
Er 0.000 0.667 0.336
Er 0.333 0.333 0.336
Er 0.000 0.333 0.664
Er 0.333 0.000 0.664
Er 0.667 0.667 0.664

---

No. 2
The following is a PBE calculation of Zn3NiPd after structural relaxation, from Alexandria via LeMat-Bulk.

Values from the calculation:
**E above lowest polymorph**: 0 meV per atom
**Formation energy from the elements**: 260 meV per atom
**E_tot**: -2.700 eV per atom
**D(E_F)**: 2.8 states/eV/f.u.
**SG**: Pm-3m (221)

Cell: 4.452 4.452 4.452 Å, 90.00 90.00 90.00°
Fractional coordinates of all 5 atoms:
Ni 0.000 0.000 0.000
Zn 0.000 0.500 0.000
Zn 0.000 0.000 0.500
Zn 0.500 0.000 0.000
Pd 0.500 0.500 0.500

---

No. 3
The following is a PBE calculation of Y14TmTl after structural relaxation, from Alexandria via LeMat-Bulk.

Values from the calculation:
**Formation energy from the elements**: -8 meV per atom
**E_tot**: -6.092 eV per atom
**D(E_F)**: 25.8 states/eV/f.u.
**SG**: Amm2 (38)

Cell: 7.074 7.074 10.076 Å, 90.00 90.00 90.00°
Fractional coordinates of all 16 atoms:
Y 0.375 0.625 0.500
Y 0.875 0.125 0.500
Y 0.875 0.624 0.000
Y 0.875 0.625 0.500
Y 0.376 0.125 0.000
Y 0.375 0.125 0.500
Y 0.625 0.875 0.753
Y 0.625 0.875 0.247
Y 0.125 0.375 0.753
Y 0.125 0.375 0.247
Y 0.125 0.875 0.754
Y 0.125 0.875 0.246
Y 0.624 0.376 0.753
Y 0.624 0.376 0.247
Tm 0.375 0.625 0.000
Tl 0.875 0.125 0.000

---

No. 4
The following is a PBE calculation of AcLa3Er after structural relaxation, from Alexandria via LeMat-Bulk.

Values from the calculation:
**E above lowest polymorph**: 153 meV per atom
**Formation energy from the elements**: 239 meV per atom
**E_tot**: -4.452 eV per atom
**D(E_F)**: 6.1 states/eV/f.u.
**SG**: Cmcm (63)

Cell: 6.167 5.620 13.437 Å, 90.00 90.00 123.27°
Fractional coordinates of all 10 atoms:
Ac 0.000 0.000 0.500
Ac 0.000 0.000 0.000
La 0.062 0.124 0.750
La 0.938 0.876 0.250
La 0.377 0.754 0.620
La 0.623 0.246 0.380
La 0.623 0.246 0.120
La 0.377 0.754 0.880
Er 0.280 0.561 0.250
Er 0.720 0.439 0.750

---

No. 5
The following is a PBE calculation of Rb2InP after structural relaxation, from Alexandria via LeMat-Bulk.

Values from the calculation:
**E above lowest polymorph**: 383 meV per atom
**Formation energy from the elements**: 144 meV per atom
**E_tot**: -2.377 eV per atom
**D(E_F)**: 0.0 states/eV/f.u.
**SG**: Fm-3m (225)

Cell: 5.838 5.838 5.838 Å, 60.00 60.00 60.00°
Fractional coordinates of all 4 atoms:
P 0.000 0.000 0.000
Rb 0.250 0.250 0.250
Rb 0.750 0.750 0.750
In 0.500 0.500 0.500

---

No. 6
The following is a PBE calculation of Ca2PmTl4 after structural relaxation, from Alexandria via LeMat-Bulk.

Values from the calculation:
**Formation energy from the elements**: -300 meV per atom
**E_tot**: -2.903 eV per atom
**D(E_F)**: 2.4 states/eV/f.u.
**SG**: I4/mmm (139)

Cell: 6.615 6.615 6.615 Å, 108.93 109.74 109.74°
Fractional coordinates of all 7 atoms:
Ca 0.500 0.500 0.000
Ca 0.500 0.000 0.500
Tl 0.500 0.000 0.000
Tl 0.500 0.500 0.500
Tl 0.000 0.000 0.500
Tl 0.000 0.500 0.000
Pm 0.000 0.000 0.000

---

Question: Among the records above, which one has the highest D(E_F)?
Answer: Y14TmTl